Pr2Cu2NiO6 | PBE+U | optimized geometry

Summary:
* total magnetic moment: 0.0 μB/f.u.
* final energy: -6.15 eV per atom

Unit cell a=6.108 b=6.108 c=6.108 alpha=56.03 beta=56.03 gamma=56.03
Atoms (fractional coordinates):
Pr  0.212  0.212  0.212
Pr  0.788  0.788  0.788
Cu  0.417  0.417  0.417
Cu  0.583  0.583  0.583
Ni  0.000  0.000  0.000
O  0.206  0.761  0.761
O  0.239  0.239  0.794
O  0.239  0.794  0.239
O  0.761  0.206  0.761
O  0.761  0.761  0.206
O  0.794  0.239  0.239